(1)
{
  "formula": "Tb6Ir2Rh",
  "functional": "PBE",
  "state": "optimized geometry",
  "lattice": [[6.644, 0.000, 0.000], [0.000, 7.297, 0.000], [-6.268, 0.000, 9.808]],
  "species": ["Tb", "Tb", "Tb", "Tb", "Tb", "Tb", "Tb", "Tb", "Tb", "Tb", "Tb", "Tb", "Ir", "Ir", "Ir", "Ir", "Rh", "Rh"],
  "frac_coords": [[0.091, 0.051, 0.255], [0.091, 0.449, 0.755], [0.255, 0.675, 0.076], [0.255, 0.825, 0.576], [0.406, 0.177, 0.069], [0.406, 0.323, 0.569], [0.594, 0.677, 0.431], [0.594, 0.823, 0.931], [0.745, 0.175, 0.424], [0.745, 0.325, 0.924], [0.909, 0.551, 0.245], [0.909, 0.949, 0.745], [0.306, 0.116, 0.759], [0.306, 0.384, 0.259], [0.694, 0.616, 0.741], [0.694, 0.884, 0.241], [0.000, 0.000, 0.000], [0.000, 0.500, 0.500]],
  "spacegroup": "No. 14",
  "final_energy_ev_per_atom": -6.49,
  "formation_enthalpy_0k_ev_per_atom": -0.618
}

---

(2)
{
  "formula": "LaZnB",
  "functional": "PBE",
  "state": "optimized geometry",
  "lattice": [[3.994, 0.000, 0.000], [0.000, 4.101, 0.000], [-1.979, 0.000, 7.312]],
  "species": ["La", "La", "Zn", "Zn", "B", "B"],
  "frac_coords": [[0.000, 0.000, 0.000], [0.257, 0.000, 0.511], [0.424, 0.500, 0.846], [0.608, 0.500, 0.218], [0.748, 0.500, 0.493], [0.857, 0.500, 0.710]],
  "spacegroup": "No. 6",
  "final_energy_ev_per_atom": -4.46,
  "e_above_lowest_polymorph_mev_per_atom": 136,
  "formation_enthalpy_0k_ev_per_atom": -0.168
}

---

(3)
{
  "formula": "GaF4",
  "functional": "PBE",
  "state": "optimized geometry",
  "lattice": [[3.844, 0.000, 0.000], [0.000, 3.844, 0.000], [0.000, 0.000, 3.844]],
  "species": ["Ga", "F", "F", "F", "F"],
  "frac_coords": [[0.000, 0.000, 0.000], [0.000, 0.000, 0.500], [0.000, 0.500, 0.000], [0.500, 0.000, 0.000], [0.500, 0.500, 0.500]],
  "spacegroup": "No. 221",
  "final_energy_ev_per_atom": -3.92,
  "e_above_lowest_polymorph_mev_per_atom": 0
}